Compound: K12IO3F4
Source: the Alexandria database
Functional: GGA-PBE
Structure: relaxed

POSCAR file:
```
K12IO3F4
1.0
8.826 0.000 0.000
-2.942 8.321 0.000
-2.942 -4.161 7.206
K I O F
12 1 3 4
direct
0.325 0.818 0.143 K
0.675 0.182 0.857 K
0.675 0.818 0.494 K
0.857 0.675 0.182 K
0.818 0.143 0.325 K
0.182 0.506 0.325 K
0.506 0.325 0.182 K
0.182 0.857 0.675 K
0.325 0.182 0.506 K
0.143 0.325 0.818 K
0.818 0.494 0.675 K
0.494 0.675 0.818 K
0.000 0.000 0.000 I
0.000 0.500 0.500 O
0.500 0.500 0.000 O
0.500 0.000 0.500 O
0.500 0.000 0.000 F
0.500 0.500 0.500 F
0.000 0.500 0.000 F
0.000 0.000 0.500 F
```

Results
SG ... Im-3
E_form (uncorrected) ... -1617 meV/atom
D(E_F) ... 0.14 states/eV per atom